Entry 1:
VASP calculation (PBE+U) on a geometry-optimized Ba2HoNiO5 structure.

Unit cell a=3.5326 b=15.2499 c=11.2679 alpha=90.00 beta=90.00 gamma=90.00
Space group Cmc2_1 (No. 36)
Unique sites:
Ba1 0.0000 0.1127 0.0000 (multiplicity 4)
Ba2 0.0000 0.1360 0.6518 (multiplicity 4)
Ho1 0.0000 0.1988 0.3519 (multiplicity 4)
Ni1 0.0000 0.4509 0.7554 (multiplicity 4)
O1 0.0000 0.0389 0.3287 (multiplicity 4)
O2 0.0000 0.2957 0.9780 (multiplicity 4)
O3 0.0000 0.3274 0.7164 (multiplicity 4)
O4 0.0000 0.3387 0.3302 (multiplicity 4)
O5 0.0000 0.4967 0.1123 (multiplicity 4)

DFT total energy = -6.278 eV per atom



Entry 2:
VASP calculation (PBE+U) on a geometry-optimized BaHo2NiO5 structure.

Unit cell a=3.7900 b=5.7874 c=11.3842 alpha=90.00 beta=90.00 gamma=90.00
Space group Immm (No. 71)
Unique sites:
Ba1 0.0000 0.0000 0.0000 (multiplicity 2)
Ho1 0.0000 0.5000 0.2034 (multiplicity 4)
Ni1 0.0000 0.0000 0.5000 (multiplicity 2)
O1 0.0000 0.2399 0.3495 (multiplicity 8)
O2 0.0000 0.5000 0.0000 (multiplicity 2)

N(E_F) = 0.0 states/eV per cell
DFT total energy = -7.072 eV per atom